[1]
VASP calculation (GGA-PBEsol) on an optimized crystal structure of MnSb2O6.

a = 5.6855 Å, b = 5.6855 Å, c = 7.3222 Å
α = 73.72°, β = 73.72°, γ = 73.83°
Each line ends with the local moment (μB).
Element x y z (fractional)
Mn1 0.8384 0.8384 0.6652  3.82
Mn2 0.1616 0.1616 0.3348  3.82
Sb1 0.5000 0.5000 0.5000  0.04
Sb2 0.5000 0.5000 0.0000  0.00
Sb3 0.1694 0.1694 0.8221  0.03
Sb4 0.8306 0.8306 0.1779  0.03
O1 0.7349 0.7349 0.9622  0.00
O2 0.2651 0.2651 0.0378  0.00
O3 0.0629 0.0629 0.6252  0.02
O4 0.9371 0.9371 0.3748  0.02
O5 0.3928 0.3928 0.2993  0.01
O6 0.6072 0.6072 0.7007  0.01
O7 0.1956 0.8044 0.0000  0.02
O8 0.8044 0.1956 0.0000  0.02
O9 0.1465 0.5300 0.6653  0.04
O10 0.5300 0.1465 0.6653  0.04
O11 0.8535 0.4700 0.3347  0.04
O12 0.4700 0.8535 0.3347  0.04

Formation energy (no corrections): -1.425 eV per atom
Crystal system: monoclinic
Raw total energy: -7.021 eV/atom
Calculated volume: 11.83 A^3/atom
DOS at the Fermi energy: 0.200 states/eV per atom
SG: C2/m

[2]
VASP calculation (GGA-PBEsol) on an optimized crystal structure of MnSb2O6.

a = 4.5944 Å, b = 5.2257 Å, c = 5.2257 Å
α = 120.00°, β = 90.00°, γ = 90.00°
Each line ends with the local moment (μB).
Element x y z (fractional)
Sb1 0.5000 0.3333 0.6667  0.03
Sb2 0.5000 0.6667 0.3333  0.03
Mn1 0.0000 0.0000 0.0000  4.48
O1 0.7356 0.3531 0.3531  0.03
O2 0.7356 0.6469 0.0000  0.03
O3 0.7356 0.0000 0.6469  0.03
O4 0.2644 0.3531 0.0000  0.03
O5 0.2644 0.0000 0.3531  0.03
O6 0.2644 0.6469 0.6469  0.03

Formation energy (no corrections): -1.396 eV per atom
Crystal system: trigonal
Raw total energy: -6.993 eV/atom
Calculated volume: 12.07 A^3/atom
DOS at the Fermi energy: 0.096 states/eV per atom
SG: P-31m

Please write out number 2 again, unchanged.
VASP calculation (GGA-PBEsol) on an optimized crystal structure of MnSb2O6.

a = 4.5944 Å, b = 5.2257 Å, c = 5.2257 Å
α = 120.00°, β = 90.00°, γ = 90.00°
Each line ends with the local moment (μB).
Element x y z (fractional)
Sb1 0.5000 0.3333 0.6667  0.03
Sb2 0.5000 0.6667 0.3333  0.03
Mn1 0.0000 0.0000 0.0000  4.48
O1 0.7356 0.3531 0.3531  0.03
O2 0.7356 0.6469 0.0000  0.03
O3 0.7356 0.0000 0.6469  0.03
O4 0.2644 0.3531 0.0000  0.03
O5 0.2644 0.0000 0.3531  0.03
O6 0.2644 0.6469 0.6469  0.03

Formation energy (no corrections): -1.396 eV per atom
Crystal system: trigonal
Raw total energy: -6.993 eV/atom
Calculated volume: 12.07 A^3/atom
DOS at the Fermi energy: 0.096 states/eV per atom
SG: P-31m

Question: What is the raw total energy in the second record?
Answer: -6.993 eV/atom